Material: Ta2SbP
Method: DFT, PBE-GGA
State: relaxed

abc: 3.2103 3.2103 6.8434
angles: 90.00 90.00 90.00
Last column: nearest neighbours and their distance in Å.
Fractional coordinates of all 4 atoms:
Ta  0.0000  0.0000  0.2081  4 P 2.68, 1 Ta 2.85
Ta  0.0000  0.0000  0.7919  4 P 2.68, 1 Ta 2.85
Sb  0.5000  0.5000  0.5000  8 Ta 3.02, 4 Sb 3.21
P  0.5000  0.5000  0.0000  8 Ta 2.68

Properties
Total moment (μB per cell): 0.0
Crystal system: tetragonal
SG: No. 123
Calculated volume (Å³/atom): 17.6
Formation energy without anion corrections (meV per atom): -160.5